[1]
VASP calculation (PBE) on a geometry-optimized Sm4CuTc structure.

Lattice parameters (Å, degrees): 6.446 7.988 7.988 110.37 107.74 107.74
Positions (direct):
Sm: 0.788 0.634 0.772
Sm: 0.092 0.946 0.295
Sm: 0.712 0.228 0.366
Sm: 0.408 0.705 0.054
Sm: 0.592 0.295 0.946
Sm: 0.288 0.772 0.634
Sm: 0.908 0.054 0.705
Sm: 0.212 0.366 0.228
Cu: 0.750 0.630 0.370
Cu: 0.250 0.370 0.630
Tc: 0.250 0.003 0.997
Tc: 0.750 0.997 0.003

## Properties
Space group: C2/c
ΔE_f, eV/atom: -0.06

---

[2]
VASP calculation (PBE) on a geometry-optimized Sm8Cu2Tc structure.

Lattice parameters (Å, degrees): 5.863 7.922 7.922 116.29 100.96 100.96
Positions (direct):
Cu: 0.497 0.703 0.307
Cu: 0.497 0.307 0.703
Sm: 0.588 0.331 0.090
Sm: 0.588 0.090 0.331
Sm: 0.181 0.370 0.370
Sm: 0.993 0.207 0.792
Sm: 0.993 0.792 0.207
Sm: 0.816 0.642 0.642
Sm: 0.384 0.912 0.669
Sm: 0.384 0.669 0.912
Tc: 0.081 0.010 0.010

## Properties
Space group: Cm
ΔE_f, eV/atom: 0.05

---

[3]
VASP calculation (PBE) on a geometry-optimized Sm8Cu2Tc structure.

Lattice parameters (Å, degrees): 5.179 6.888 9.167 106.35 106.41 90.00
Positions (direct):
Sm: 0.409 0.552 0.819
Sm: 0.668 0.981 0.335
Sm: 0.803 0.677 0.605
Sm: 0.970 0.207 0.940
Sm: 0.197 0.323 0.395
Sm: 0.332 0.019 0.665
Sm: 0.591 0.448 0.181
Sm: 0.030 0.793 0.060
Cu: 0.817 0.281 0.635
Cu: 0.183 0.719 0.365
Tc: 0.500 0.000 0.000

## Properties
Space group: C2/m
ΔE_f, eV/atom: -0.03

---

[4]
VASP calculation (PBE) on a geometry-optimized SmThCuTc structure.

Lattice parameters (Å, degrees): 5.011 5.011 5.011 60.00 60.00 60.00
Positions (direct):
Cu: 0.000 0.000 0.000
Sm: 0.750 0.750 0.750
Th: 0.250 0.250 0.250
Tc: 0.500 0.500 0.500

## Properties
Space group: F-43m
ΔE_f, eV/atom: -0.07

---

[5]
VASP calculation (PBE) on a geometry-optimized SmYCuTc structure.

Lattice parameters (Å, degrees): 4.928 4.928 4.928 60.00 60.00 60.00
Positions (direct):
Y: 0.750 0.750 0.750
Cu: 0.500 0.500 0.500
Tc: 0.000 0.000 0.000
Sm: 0.250 0.250 0.250

## Properties
Space group: F-43m
ΔE_f, eV/atom: -0.03

---

[6]
VASP calculation (PBE) on a geometry-optimized SmZrCuTc structure.

Lattice parameters (Å, degrees): 4.802 4.802 4.802 60.00 60.00 60.00
Positions (direct):
Zr: 0.500 0.500 0.500
Cu: 0.250 0.250 0.250
Tc: 0.750 0.750 0.750
Sm: 0.000 0.000 0.000

## Properties
Space group: F-43m
ΔE_f, eV/atom: -0.08